# 1
Ag2GeSe2 | PBE-GGA | optimized geometry

Calculated density in g/cm³: 7.00
Symmetry: P4/mbm, No. 127
Crystal system: tetragonal

a b c (Å): 7.6776 7.6776 3.5940
angles (deg): 90.00 90.00 90.00
Atoms (fractional coordinates):
Ge 0.0000 0.0000 0.0000
Ge 0.5000 0.5000 0.0000
Se 0.3239 0.8239 0.0000
Se 0.8239 0.6761 0.0000
Se 0.6761 0.1761 0.0000
Se 0.1761 0.3239 0.0000
Ag 0.1307 0.6307 0.5000
Ag 0.6307 0.8693 0.5000
Ag 0.8693 0.3693 0.5000
Ag 0.3693 0.1307 0.5000



# 2
Ag2Ge2Se3 | PBE-GGA | optimized geometry

Calculated density in g/cm³: 5.95
Symmetry: P2_1/c, No. 14
Crystal system: monoclinic

a b c (Å): 7.0840 8.2419 6.2444
angles (deg): 90.00 66.24 90.00
Atoms (fractional coordinates):
Ag 0.5873 0.3582 0.5514
Ag 0.9127 0.8582 0.4486
Ag 0.0873 0.1418 0.5514
Ag 0.4127 0.6418 0.4486
Ge 0.8531 0.6549 0.8976
Ge 0.3531 0.8451 0.8976
Ge 0.6469 0.1549 0.1024
Ge 0.1469 0.3451 0.1024
Se 0.5000 0.5000 0.0000
Se 0.0000 0.0000 0.0000
Se 0.6331 0.0723 0.7050
Se 0.8669 0.5723 0.2950
Se 0.1331 0.4277 0.7050
Se 0.3669 0.9277 0.2950



# 3
Ag8GeSe6 | PBE-GGA | optimized geometry

Calculated density in g/cm³: 6.78
Symmetry: Pmn2_1, No. 31
Crystal system: orthorhombic

a b c (Å): 7.8192 8.0306 10.9908
angles (deg): 90.00 90.00 90.00
Atoms (fractional coordinates):
Ag 0.2760 0.0000 0.4805
Ag 0.7240 0.5000 0.9805
Ag 0.8450 0.2002 0.1565
Ag 0.1550 0.2998 0.6565
Ag 0.1550 0.7002 0.6565
Ag 0.8450 0.7998 0.1565
Ag 0.4637 0.1976 0.2684
Ag 0.5363 0.3024 0.7684
Ag 0.5363 0.6976 0.7684
Ag 0.4637 0.8024 0.2684
Ag 0.8974 0.2091 0.8640
Ag 0.1026 0.2909 0.3640
Ag 0.1026 0.7091 0.3640
Ag 0.8974 0.7909 0.8640
Ag 0.6187 0.5000 0.5424
Ag 0.3813 0.0000 0.0424
Ge 0.7504 0.0000 0.5195
Ge 0.2496 0.5000 0.0195
Se 0.7501 0.7513 0.3992
Se 0.2499 0.7487 0.8992
Se 0.4912 0.5000 0.1511
Se 0.5088 0.0000 0.6511
Se 0.0041 0.5000 0.1515
Se 0.9959 0.0000 0.6515
Se 0.8128 0.5000 0.7458
Se 0.1872 0.0000 0.2458
Se 0.2850 0.5000 0.4970
Se 0.7150 0.0000 0.9970
Se 0.7501 0.2487 0.3992
Se 0.2499 0.2513 0.8992



# 4
Ag7GeSe6 | PBE-GGA | optimized geometry

Calculated density in g/cm³: 6.15
Symmetry: Ibam, No. 72
Crystal system: orthorhombic

a b c (Å): 6.4816 10.9114 10.9114
angles (deg): 82.54 72.72 72.72
Atoms (fractional coordinates):
Ag 0.7262 0.0331 0.9669
Ag 0.2738 0.9669 0.0331
Ag 0.7738 0.5331 0.4669
Ag 0.2262 0.4669 0.5331
Ag 0.5471 0.6248 0.1722
Ag 0.6558 0.1722 0.6248
Ag 0.9529 0.3278 0.8752
Ag 0.8442 0.8752 0.3278
Ag 0.4529 0.3752 0.8278
Ag 0.3442 0.8278 0.3752
Ag 0.0471 0.6722 0.1248
Ag 0.1558 0.1248 0.6722
Ag 0.2500 0.2500 0.2500
Ag 0.7500 0.7500 0.7500
Ge 0.7500 0.2500 0.2500
Ge 0.2500 0.7500 0.7500
Se 0.6219 0.2625 0.0594
Se 0.0562 0.0594 0.2625
Se 0.8781 0.4406 0.2375
Se 0.4438 0.2375 0.4406
Se 0.3781 0.7375 0.9406
Se 0.9438 0.9406 0.7375
Se 0.1219 0.5594 0.7625
Se 0.5562 0.7625 0.5594
Se 0.1495 0.6493 0.3507
Se 0.8505 0.3507 0.6493
Se 0.3505 0.1493 0.8507
Se 0.6495 0.8507 0.1493



Short version: VASP energy = -33.57, -51.67, -100.98, -92.12 eV per cell, in the order given.